1.
## AlRe2I (PBEsol)

Data for a relaxed structure of AlRe2I.

Cell and atoms, written as extended XYZ:
```
8
Lattice="-2.0636 2.0636 8.9989 2.0636 -2.0636 8.9989 2.0636 2.0636 -8.9989" Properties=species:S:1:pos:R:3 pbc="T T T"
Al 0.0000 0.0000 0.0000
Al 0.0000 2.0636 4.4995
Re 3.0953 0.7040 -2.2497
Re 0.7040 1.0318 2.2497
Re -1.0318 1.3595 6.7492
Re 1.3595 1.0318 11.2487
I 2.0636 0.0000 4.4995
I 0.0000 0.0000 8.9989
```

Results
The value obtained for the formation energy without anion corrections is 1107 meV/atom. The space group is No. 122. For the total magnetization, the calculation gives 0.0 μB per cell.



2.
## CaYAu (PBEsol)

Data for a relaxed structure of CaYAu.

Cell and atoms, written as extended XYZ:
```
3
Lattice="0.0000 3.3909 3.3909 3.3909 0.0000 3.3909 3.3909 3.3909 0.0000" Properties=species:S:1:pos:R:3 pbc="T T T"
Ca 0.0000 0.0000 0.0000
Y 1.6954 1.6954 1.6954
Au 5.0863 5.0863 5.0863
```

Results
Its formation energy is 0.239 eV/atom. The space group is No. 216. For the total magnetization, the calculation gives 0.0 μB per cell. For the energy above the most stable polymorph in this dataset, the calculation gives 0.7726 eV per atom.



3.
## CsKCd2I (PBEsol)

Data for a relaxed structure of CsKCd2I.

Cell and atoms, written as extended XYZ:
```
5
Lattice="6.9279 0.0000 0.0000 0.0000 6.9279 0.0000 0.0000 0.0000 6.1869" Properties=species:S:1:pos:R:3 pbc="T T T"
Cs 0.0000 0.0000 0.0000
K 3.4640 3.4640 0.0000
Cd 0.0000 3.4640 3.0934
Cd 3.4640 0.0000 3.0934
I 3.4640 3.4640 3.0934
```

Results
The value obtained for the formation energy without anion corrections is -71 meV/atom. The space group is No. 123. For the total magnetization, the calculation gives 0.0 μB per cell.



Calculated total energy per entry: -7.023; -4.054; -1.319 eV/atom
DOS(E_F) per entry: 3.57; 3.17; 2.38 states/eV/f.u.